# 1
VASP calculation (GGA-PBE) on a geometry-optimized LaAgGe2S6 structure.

Summary:
energy relative to the elements, uncorrected = -0.703 eV/atom

a = 13.2361 Å, b = 11.6864 Å, c = 6.9136 Å
α = 90.00°, β = 111.26°, γ = 90.00°
Last column: nearest neighbours and their distance in Å.
Space group C2/c (No. 15)
Symmetry-distinct sites (fractional):
La (0.0000, 0.1440, 0.2500) [4 per cell]  6 S 2.85-3.04
Ag (0.0000, 0.2489, 0.7500) [4 per cell]  2 S 2.46
Ge (0.2011, 0.4307, 0.2246) [8 per cell]  4 S 2.22-2.29
S (0.1182, 0.0604, 0.6595) [8 per cell]  1 Ge 2.23
S (0.1299, 0.4314, 0.4807) [8 per cell]  2 Ge 2.28-2.29
S (0.1448, 0.2584, 0.0946) [8 per cell]  1 Ge 2.22, 1 Ag 2.46


# 2
VASP calculation (GGA-PBE) on a geometry-optimized LaScAgGe structure.

Summary:
energy of formation = -465 meV/atom

a = 7.2198 Å, b = 7.2198 Å, c = 7.2198 Å
α = 90.00°, β = 90.00°, γ = 90.00°
Last column: nearest neighbours and their distance in Å.
Space group F-43m (No. 216)
Symmetry-distinct sites (fractional):
La (0.0000, 0.0000, 0.0000) [4 per cell]  4 Ge 3.13, 4 Ag 3.13
Sc (0.0000, 0.0000, 0.5000) [4 per cell]  4 Ag 3.13, 4 Ge 3.13
Ag (0.2500, 0.2500, 0.2500) [4 per cell]  4 La 3.13, 4 Sc 3.13
Ge (0.2500, 0.2500, 0.7500) [4 per cell]  4 La 3.13, 4 Sc 3.13


# 3
VASP calculation (GGA-PBE) on a geometry-optimized La2AgGeSe5 structure.

Summary:
energy relative to the elements, uncorrected = -1.182 eV/atom

a = 4.3247 Å, b = 18.1055 Å, c = 11.7897 Å
α = 90.00°, β = 90.00°, γ = 90.00°
Last column: nearest neighbours and their distance in Å.
Space group Cmc2_1 (No. 36)
Symmetry-distinct sites (fractional):
La (0.0000, 0.1210, 0.0000) [4 per cell]  8 Se 3.09-3.30
La (0.0000, 0.1271, 0.6188) [4 per cell]  7 Se 3.00-3.24
Ag (0.0000, 0.2250, 0.3493) [4 per cell]  3 Se 2.64-2.77
Ge (0.0000, 0.4314, 0.7769) [4 per cell]  4 Se 2.48-2.51
Se (0.0000, 0.0424, 0.3769) [4 per cell]  2 Ge 2.51
Se (0.0000, 0.2924, 0.9934) [4 per cell]  2 Ag 2.77, 2 La 3.00
Se (0.0000, 0.3142, 0.6687) [4 per cell]  1 Ge 2.48
Se (0.0000, 0.3690, 0.3133) [4 per cell]  1 Ag 2.64
Se (0.0000, 0.4973, 0.5910) [4 per cell]  1 Ge 2.49


| no. | total magnetic moment (μB/f.u.) |
| --- | --- |
| 1 | 0.00 |
| 2 | 0.46 |
| 3 | 0.00 |